Entry 1:
A relaxed RbSc2MoOs crystal. Source: Alexandria, functional GGA-PBE.

a b c (Å): 4.9665 5.3041 4.9665
angles (deg): 90.00 90.00 90.00
Last column: nearest neighbours and their distance in Å.
Fractional positions:
Sc  0.0000  0.0000  0.5000  2 Mo 2.48
Sc  0.5000  0.0000  0.0000  2 Mo 2.48
Mo  0.0000  0.0000  0.0000  4 Sc 2.48, 2 Rb 2.65
Os  0.5000  0.5000  0.5000  4 Rb 3.51, 8 Sc 3.63
Rb  0.0000  0.5000  0.0000  2 Mo 2.65

Properties
The calculation puts the density of states at the Fermi level at 1.006 states/eV per atom. As for the crystal system: tetragonal. The value obtained for the total moment is 1.956 μB/cell. The final energy comes out at -5.29 eV/atom. As for the formation energy: 9.25 eV per formula unit.


Entry 2:
A relaxed DyU2S6 crystal. Source: Alexandria, functional GGA-PBE.

a b c (Å): 4.1289 7.2115 7.2115
angles (deg): 120.00 90.00 90.00
Last column: nearest neighbours and their distance in Å.
Fractional positions:
Dy  0.5000  0.0000  0.0000  6 S 2.74
U  0.2716  0.6667  0.3333  9 S 2.79-2.87
U  0.7284  0.3333  0.6667  9 S 2.79-2.87
S  0.2416  0.6162  0.6974  1 Dy 2.74, 3 U 2.79-2.87
S  0.2416  0.0812  0.3838  1 Dy 2.74, 3 U 2.79-2.87
S  0.2416  0.3026  0.9188  1 Dy 2.74, 3 U 2.79-2.87
S  0.7584  0.3838  0.3026  1 Dy 2.74, 3 U 2.79-2.87
S  0.7584  0.9188  0.6162  1 Dy 2.74, 3 U 2.79-2.87
S  0.7584  0.6974  0.0812  1 Dy 2.74, 3 U 2.79-2.87

Properties
The calculation puts the density of states at the Fermi level at 1.204 states/eV per atom. As for the crystal system: trigonal. The formation energy (no corrections) comes out at -1.445 eV per atom. The value obtained for the total moment is 2.999 μB/cell. The final energy comes out at -7.22 eV/atom.